VAs3Ru: relaxed, PBE.

Output
Volume = 109 Å³ per cell
Formation enthalpy at 0 K = 3.719 eV/f.u.
Relative energy among the computed polymorphs = 0.0000 eV per atom
Calculated density = 5.8 g cm⁻³

Structure (CIF):
```
data_VAs3Ru
_chemical_formula_sum 'V1 As3 Ru1'
_cell_length_a 4.770
_cell_length_b 4.770
_cell_length_c 4.770
_cell_angle_alpha 90.00
_cell_angle_beta 90.00
_cell_angle_gamma 90.00
_space_group_name_H-M_alt 'P m -3 m'
_space_group_IT_number 221
_space_group_name_Hall '-P 4 2 3'
loop_
_atom_site_label
_atom_site_type_symbol
_atom_site_fract_x
_atom_site_fract_y
_atom_site_fract_z
V1 V 0.000 0.000 0.000
As1 As 0.000 0.500 0.500
Ru1 Ru 0.500 0.500 0.500
```